1.
5
Lattice="-1.851 1.851 6.844 1.851 -1.851 6.844 1.851 1.851 -6.844" Properties=species:S:1:pos:R:3 comment="MnAg2Pt2 | Alexandria via LeMat-Bulk | PBE | relaxed" formation_enthalpy_0k_ev_per_atom=0.353 total_energy_ev_per_atom=-5.04 relative_energy_mev_per_atom=276 n_ef_per_ev_atom=0.735 pbc="T T T"
Mn 0.000 0.000 0.000
Ag 0.000 0.000 5.521
Ag 0.000 0.000 8.167
Pt 1.851 0.000 3.422
Pt 0.000 1.851 3.422

=====

2.
6
Lattice="1.778 -5.357 0.000 1.778 5.357 0.000 0.000 0.000 3.537" Properties=species:S:1:pos:R:3 comment="ZnNi5 | Alexandria via LeMat-Bulk | PBE | relaxed" formation_enthalpy_0k_ev_per_atom=-0.073 total_energy_ev_per_atom=-5.10 n_ef_per_ev_atom=1.374 pbc="T T T"
Zn 0.000 0.000 0.000
Ni 1.778 3.538 1.768
Ni 1.778 1.809 0.000
Ni 1.778 0.000 1.768
Ni 1.778 -1.809 0.000
Ni 1.778 -3.538 1.768

=====

3.
9
Lattice="6.592 0.000 0.000 -3.296 5.708 0.000 0.000 0.000 4.112" Properties=species:S:1:pos:R:3 comment="UAlNi | Alexandria via LeMat-Bulk | PBE | relaxed" formation_enthalpy_0k_ev_per_atom=-0.283 total_energy_ev_per_atom=-7.22 n_ef_per_ev_atom=1.718 pbc="T T T"
U -1.886 3.267 0.000
U 1.410 2.441 0.000
U 3.772 0.000 0.000
Al -0.778 1.347 2.056
Al 1.555 0.000 2.056
Al 2.518 4.362 2.056
Ni 0.000 0.000 0.000
Ni 0.000 3.806 2.056
Ni 3.296 1.903 2.056